Record 1
Computed, not measured: a relaxed structure of Ba2SiRh at the GGA-PBE level of DFT.

Properties
Raw total energy (eV/atom): -4.083
DOS at the Fermi energy (states/eV/f.u.): 3.18
Theoretical density (Mg/m³): 5.88

Cell lengths 5.7264, 5.7264, 5.7264 Å; angles 127.53, 127.53, 77.39 degrees
Closest atoms and distances in Å follow each position.
Fractional coordinates of all 4 atoms:
Ba (0.0000, 0.0000, 0.0000)  4 Rh 3.38, 4 Si 3.38, 4 Ba 3.58
Ba (0.5000, 0.5000, 0.0000)  4 Rh 3.38, 4 Si 3.38, 4 Ba 3.58
Rh (0.2500, 0.7500, 0.5000)  8 Ba 3.38, 4 Si 3.58
Si (0.7500, 0.2500, 0.5000)  8 Ba 3.38, 4 Rh 3.58

Record 2
Computed, not measured: a relaxed structure of Ba4SiRh at the GGA-PBE level of DFT.

Properties
Raw total energy (eV/atom): -2.563
DOS at the Fermi energy (states/eV/f.u.): 6.89
Theoretical density (Mg/m³): 5.08

Cell lengths 6.7989, 6.7989, 6.7989 Å; angles 60.00, 60.00, 60.00 degrees
Closest atoms and distances in Å follow each position.
Fractional coordinates of all 6 atoms:
Ba (0.8752, 0.3749, 0.3749)  6 Ba 3.40
Ba (0.3749, 0.3749, 0.8752)  6 Ba 3.40
Ba (0.3749, 0.8752, 0.3749)  6 Ba 3.40
Ba (0.3749, 0.3749, 0.3749)  6 Ba 3.40
Si (0.0000, 0.0000, 0.0000)  12 Ba 3.99, 4 Rh 4.16
Rh (0.7500, 0.7500, 0.7500)  12 Ba 3.99, 4 Si 4.16

Record 3
Computed, not measured: a relaxed structure of Ba2Si4Rh5 at the GGA-PBE level of DFT.

Properties
Raw total energy (eV/atom): -6.452
DOS at the Fermi energy (states/eV/f.u.): 6.36
Theoretical density (Mg/m³): 7.09

Cell lengths 5.8829, 6.0935, 7.3448 Å; angles 78.85, 66.39, 61.14 degrees
Closest atoms and distances in Å follow each position.
Fractional coordinates of all 11 atoms:
Ba (0.8657, 0.0000, 0.2685)  10 Rh 3.42-3.54, 8 Si 3.42-3.66, 1 Ba 3.61
Ba (0.1343, 0.0000, 0.7315)  10 Rh 3.42-3.54, 8 Si 3.42-3.66, 1 Ba 3.61
Si (0.4633, 0.3276, 0.7457)  5 Rh 2.40-2.45
Si (0.5367, 0.6724, 0.2543)  5 Rh 2.40-2.45
Si (0.2091, 0.3276, 0.2543)  5 Rh 2.40-2.45
Si (0.7909, 0.6724, 0.7457)  5 Rh 2.40-2.45
Rh (0.5000, 0.0000, 0.0000)  4 Si 2.45
Rh (0.0000, 0.5000, 0.0000)  4 Si 2.44
Rh (0.5000, 0.5000, 0.0000)  4 Si 2.44
Rh (0.2500, 0.5000, 0.5000)  4 Si 2.40
Rh (0.7500, 0.5000, 0.5000)  4 Si 2.40

Record 4
Computed, not measured: a relaxed structure of BaSi3Rh at the GGA-PBE level of DFT.

Properties
Raw total energy (eV/atom): -5.042
DOS at the Fermi energy (states/eV/f.u.): 7.17
Theoretical density (Mg/m³): 4.79

Cell lengths 4.8280, 4.8280, 4.8280 Å; angles 90.00, 90.00, 90.00 degrees
Closest atoms and distances in Å follow each position.
Fractional coordinates of all 5 atoms:
Si (0.0000, 0.5000, 0.0000)  2 Rh 2.41
Si (0.0000, 0.0000, 0.5000)  2 Rh 2.41
Si (0.5000, 0.0000, 0.0000)  2 Rh 2.41
Rh (0.0000, 0.0000, 0.0000)  6 Si 2.41
Ba (0.5000, 0.5000, 0.5000)  12 Si 3.41

Record 5
Computed, not measured: a relaxed structure of Ba2SiRh at the GGA-PBE level of DFT.

Properties
Raw total energy (eV/atom): -4.480
DOS at the Fermi energy (states/eV/f.u.): 3.23
Theoretical density (Mg/m³): 4.16

Cell lengths 11.8212, 11.8212, 8.6737 Å; angles 47.04, 47.04, 90.00 degrees
Closest atoms and distances in Å follow each position.
Fractional coordinates of all 8 atoms:
Si (0.5000, 0.5000, 0.0000)  2 Rh 2.32
Si (0.2500, 0.7500, 0.5000)  2 Rh 2.32
Rh (0.0000, 0.0000, 0.0000)  2 Si 2.32
Rh (0.7500, 0.2500, 0.5000)  2 Si 2.32
Ba (0.8102, 0.1250, 0.2500)  2 Rh 3.11
Ba (0.9398, 0.6250, 0.2500)  2 Rh 3.11
Ba (0.3750, 0.1898, 0.7500)  2 Rh 3.11
Ba (0.8750, 0.0602, 0.7500)  2 Rh 3.11

Record 6
Computed, not measured: a relaxed structure of BaSi9Rh2 at the GGA-PBE level of DFT.

Properties
Raw total energy (eV/atom): -5.835
DOS at the Fermi energy (states/eV/f.u.): 0.64
Theoretical density (Mg/m³): 4.68

Cell lengths 11.2041, 11.2041, 6.2760 Å; angles 89.92, 89.92, 147.57 degrees
Closest atoms and distances in Å follow each position.
Fractional coordinates of all 24 atoms:
Ba (0.6857, 0.3143, 0.7500)  14 Si 3.27-3.50
Ba (0.3143, 0.6857, 0.2500)  14 Si 3.27-3.50
Si (0.1600, 0.8392, 0.5245)  3 Si 2.40-2.44, 1 Rh 2.42
Si (0.1608, 0.8400, 0.9755)  3 Si 2.40-2.44, 1 Rh 2.42
Si (0.8400, 0.1608, 0.4755)  3 Si 2.40-2.44, 1 Rh 2.42
Si (0.8392, 0.1600, 0.0245)  3 Si 2.40-2.44, 1 Rh 2.42
Si (0.1132, 0.4317, 0.7530)  3 Si 2.41-2.44, 1 Rh 2.42
Si (0.5683, 0.8868, 0.7470)  3 Si 2.41-2.44, 1 Rh 2.42
Si (0.8868, 0.5683, 0.2470)  3 Si 2.41-2.44, 1 Rh 2.42
Si (0.4317, 0.1132, 0.2530)  3 Si 2.41-2.44, 1 Rh 2.42
Si (0.0835, 0.1734, 0.6112)  2 Si 2.36-2.44, 2 Rh 2.47-2.54
Si (0.8266, 0.9165, 0.8888)  2 Si 2.36-2.44, 2 Rh 2.47-2.54
Si (0.9165, 0.8266, 0.3888)  2 Si 2.36-2.44, 2 Rh 2.47-2.54
Si (0.1734, 0.0835, 0.1112)  2 Si 2.36-2.44, 2 Rh 2.47-2.54
Si (0.6716, 0.5840, 0.8887)  2 Si 2.37-2.44, 2 Rh 2.46-2.54
Si (0.4160, 0.3284, 0.6113)  2 Si 2.37-2.44, 2 Rh 2.46-2.54
Si (0.3284, 0.4160, 0.1113)  2 Si 2.37-2.44, 2 Rh 2.46-2.54
Si (0.5840, 0.6716, 0.3887)  2 Si 2.37-2.44, 2 Rh 2.46-2.54
Si (0.2505, 0.7495, 0.7500)  4 Si 2.40-2.41
Si (0.7495, 0.2505, 0.2500)  4 Si 2.40-2.41
Rh (0.0694, 0.9306, 0.7500)  6 Si 2.42-2.54
Rh (0.9306, 0.0694, 0.2500)  6 Si 2.42-2.54
Rh (0.4318, 0.5682, 0.7500)  8 Si 2.42-2.69
Rh (0.5682, 0.4318, 0.2500)  8 Si 2.42-2.69

Record 7
Computed, not measured: a relaxed structure of Ba2SiRh at the GGA-PBE level of DFT.

Properties
Raw total energy (eV/atom): -4.098
DOS at the Fermi energy (states/eV/f.u.): 2.63
Theoretical density (Mg/m³): 5.88

Cell lengths 8.4633, 5.0982, 4.4093 Å; angles 90.06, 58.51, 127.17 degrees
Closest atoms and distances in Å follow each position.
Fractional coordinates of all 4 atoms:
Ba (0.0000, 0.0000, 0.0000)  4 Rh 3.37, 4 Si 3.37, 4 Ba 3.60-3.61
Ba (0.5000, 0.0000, 0.5000)  4 Si 3.37, 4 Rh 3.37, 4 Ba 3.60-3.61
Rh (0.0000, 0.5000, 0.5000)  8 Ba 3.37, 4 Si 3.60-3.61
Si (0.5000, 0.5000, 0.0000)  8 Ba 3.37, 4 Rh 3.60-3.61

Record 8
Computed, not measured: a relaxed structure of BaSi3Rh at the GGA-PBE level of DFT.

Properties
Raw total energy (eV/atom): -2.801
DOS at the Fermi energy (states/eV/f.u.): 7.71
Theoretical density (Mg/m³): 3.36

Cell lengths 5.4313, 5.4313, 5.4313 Å; angles 90.00, 90.00, 90.00 degrees
Closest atoms and distances in Å follow each position.
Fractional coordinates of all 5 atoms:
Si (0.0000, 0.5000, 0.0000)  2 Ba 2.72
Si (0.0000, 0.0000, 0.5000)  2 Ba 2.72
Si (0.5000, 0.0000, 0.0000)  2 Ba 2.72
Rh (0.5000, 0.5000, 0.5000)  12 Si 3.84
Ba (0.0000, 0.0000, 0.0000)  6 Si 2.72

Record 9
Computed, not measured: a relaxed structure of BaSi4Rh at the GGA-PBE level of DFT.

Properties
Raw total energy (eV/atom): -4.798
DOS at the Fermi energy (states/eV/f.u.): 3.43
Theoretical density (Mg/m³): 5.14

Cell lengths 5.4419, 5.4419, 5.4419 Å; angles 60.00, 60.00, 60.00 degrees
Closest atoms and distances in Å follow each position.
Fractional coordinates of all 6 atoms:
Ba (0.7500, 0.7500, 0.7500)  12 Si 3.20, 4 Rh 3.33
Si (0.8888, 0.3704, 0.3704)  6 Si 2.62-2.82
Si (0.3704, 0.3704, 0.8888)  6 Si 2.62-2.82
Si (0.3704, 0.8888, 0.3704)  6 Si 2.62-2.82
Si (0.3704, 0.3704, 0.3704)  6 Si 2.62-2.82
Rh (0.0000, 0.0000, 0.0000)  12 Si 3.18, 4 Ba 3.33

Record 10
Computed, not measured: a relaxed structure of Ba2Si2Rh at the GGA-PBE level of DFT.

Properties
Raw total energy (eV/atom): -4.637
DOS at the Fermi energy (states/eV/f.u.): 5.58
Theoretical density (Mg/m³): 5.94

Cell lengths 6.7329, 6.7329, 5.3499 Å; angles 90.00, 90.00, 90.00 degrees
Closest atoms and distances in Å follow each position.
Fractional coordinates of all 10 atoms:
Si (0.3715, 0.8715, 0.0000)  1 Si 2.45, 2 Rh 2.65
Si (0.8715, 0.6285, 0.0000)  1 Si 2.45, 2 Rh 2.65
Si (0.6285, 0.1285, 0.0000)  1 Si 2.45, 2 Rh 2.65
Si (0.1285, 0.3715, 0.0000)  1 Si 2.45, 2 Rh 2.65
Rh (0.0000, 0.0000, 0.0000)  4 Si 2.65
Rh (0.5000, 0.5000, 0.0000)  4 Si 2.65
Ba (0.1846, 0.6846, 0.5000)  6 Si 3.21-3.43, 5 Ba 3.48-3.52
Ba (0.6846, 0.8154, 0.5000)  6 Si 3.21-3.43, 5 Ba 3.48-3.52
Ba (0.8154, 0.3154, 0.5000)  6 Si 3.21-3.43, 5 Ba 3.48-3.52
Ba (0.3154, 0.1846, 0.5000)  6 Si 3.21-3.43, 5 Ba 3.48-3.52

Record 11
Computed, not measured: a relaxed structure of Ba2Si7Rh12 at the GGA-PBE level of DFT.

Properties
Raw total energy (eV/atom): -6.938
DOS at the Fermi energy (states/eV/f.u.): 9.94
Theoretical density (Mg/m³): 8.49

Cell lengths 3.9081, 9.9323, 9.9322 Å; angles 120.00, 90.00, 90.00 degrees
Closest atoms and distances in Å follow each position.
Fractional coordinates of all 21 atoms:
Ba (0.5000, 0.0000, 0.0000)  9 Rh 3.17-3.44, 6 Si 3.23
Ba (0.0000, 0.6667, 0.3333)  12 Rh 3.24-3.55, 6 Si 3.27
Si (0.0000, 0.3333, 0.6667)  3 Rh 2.32
Si (0.0000, 0.0452, 0.7668)  5 Rh 2.33-2.56
Si (0.0000, 0.7216, 0.9548)  5 Rh 2.33-2.56
Si (0.0000, 0.2332, 0.2784)  5 Rh 2.33-2.56
Si (0.5000, 0.6277, 0.5756)  6 Rh 2.37-2.51
Si (0.5000, 0.9479, 0.3723)  6 Rh 2.37-2.51
Si (0.5000, 0.4244, 0.0521)  6 Rh 2.37-2.51
Rh (0.5000, 0.8978, 0.6143)  4 Si 2.46-2.69
Rh (0.5000, 0.7165, 0.1022)  4 Si 2.46-2.69
Rh (0.5000, 0.3857, 0.2835)  4 Si 2.46-2.69
Rh (0.5000, 0.2288, 0.7864)  3 Si 2.37-2.61
Rh (0.5000, 0.5576, 0.7712)  3 Si 2.37-2.61
Rh (0.5000, 0.2136, 0.4424)  3 Si 2.37-2.61
Rh (0.0000, 0.0633, 0.5418)  4 Si 2.32-2.46
Rh (0.0000, 0.4785, 0.9367)  4 Si 2.32-2.46
Rh (0.0000, 0.4582, 0.5215)  4 Si 2.32-2.46
Rh (0.0000, 0.7717, 0.7311)  4 Si 2.46-2.56, 1 Rh 2.75
Rh (0.0000, 0.9593, 0.2283)  4 Si 2.46-2.56, 1 Rh 2.75
Rh (0.0000, 0.2689, 0.0407)  4 Si 2.46-2.56, 1 Rh 2.75

Record 12
Computed, not measured: a relaxed structure of Ba2Si4Rh3 at the GGA-PBE level of DFT.

Properties
Raw total energy (eV/atom): -5.745
DOS at the Fermi energy (states/eV/f.u.): 3.59
Theoretical density (Mg/m³): 5.68

Cell lengths 5.8747, 5.8747, 7.4119 Å; angles 101.45, 101.45, 119.93 degrees
Closest atoms and distances in Å follow each position.
Fractional coordinates of all 9 atoms:
Ba (0.6455, 0.6455, 0.2910)  8 Si 3.38-3.56, 6 Rh 3.54
Ba (0.3545, 0.3545, 0.7090)  8 Si 3.38-3.56, 6 Rh 3.54
Si (0.0431, 0.7055, 0.7486)  3 Rh 2.40-2.42
Si (0.7055, 0.0431, 0.7486)  3 Rh 2.40-2.42
Si (0.9569, 0.2945, 0.2514)  3 Rh 2.40-2.42
Si (0.2945, 0.9569, 0.2514)  3 Rh 2.40-2.42
Rh (0.5000, 0.0000, 0.0000)  4 Si 2.40
Rh (0.0000, 0.0000, 0.0000)  4 Si 2.42
Rh (0.0000, 0.5000, 0.0000)  4 Si 2.40